# 1
# PBE La2TiAs4Ir3, optimized geometry
# Fermi-level density of states (states/eV per atom): 0.450
# DFT formation energy (eV/f.u.): -8.84
# Volume (Å³/cell): 194.6
# Calculated total energy (eV per atom): -7.1768
# M_tot (μB per cell): 0.00
data_La2TiAs4Ir3
_chemical_formula_sum 'La2 Ti1 As4 Ir3'
_symmetry_space_group_name_H-M 'P -4 m 2'
_symmetry_Int_Tables_number 115
_cell_length_a 4.347
_cell_length_b 4.347
_cell_length_c 10.297
_cell_angle_alpha 90.00
_cell_angle_beta 90.00
_cell_angle_gamma 90.00
loop_
_symmetry_equiv_pos_as_xyz
'x,y,z'
'y,-x,-z'
'-x,-y,z'
'-y,x,-z'
'-x,y,z'
'-y,-x,-z'
'x,-y,z'
'y,x,-z'
loop_
_atom_site_label
_atom_site_fract_x
_atom_site_fract_y
_atom_site_fract_z
_atom_site_occupancy
La1 0.000 0.500 0.236 1
Ti1 0.000 0.000 0.500 1
As1 0.000 0.000 0.000 1
As2 0.000 0.500 0.639 1
As3 0.500 0.500 0.000 1
Ir1 0.000 0.500 0.883 1
Ir2 0.500 0.500 0.500 1

# 2
# PBE K2TeSe, optimized geometry
# Energy above the lowest structure with this stoichiometry (eV per atom): 0.269
# Fermi-level density of states (states/eV per atom): 1.058
# Volume (Å³/cell): 264.6
# Calculated total energy (eV per atom): -2.7721
# M_tot (μB per cell): 0.00
data_K2TeSe
_chemical_formula_sum 'K4 Te2 Se2'
_symmetry_space_group_name_H-M 'I -4 m 2'
_symmetry_Int_Tables_number 119
_symmetry_space_group_name_Hall 'I -4 -2'
_cell_length_a 4.853
_cell_length_b 4.853
_cell_length_c 11.233
_cell_angle_alpha 90.00
_cell_angle_beta 90.00
_cell_angle_gamma 90.00
loop_
_atom_site_label
_atom_site_fract_x
_atom_site_fract_y
_atom_site_fract_z
_atom_site_occupancy
K1 0.000 0.000 0.000 1
K2 0.000 0.500 0.250 1
Te1 0.000 0.000 0.500 1
Se1 0.000 0.500 0.750 1

# 3
# PBE Tm8Zn2Cu, optimized geometry
# Fermi-level density of states (states/eV per atom): 0.897
# DFT formation energy (eV/f.u.): -1.47
# Volume (Å³/cell): 558.7
# Calculated total energy (eV per atom): -3.9893
# M_tot (μB per cell): 0.00
data_Tm8Zn2Cu
_chemical_formula_sum 'Tm16 Zn4 Cu2'
_symmetry_space_group_name_H-M 'C 1 2/m 1'
_symmetry_Int_Tables_number 12
_cell_length_a 17.357
_cell_length_b 5.023
_cell_length_c 6.690
_cell_angle_alpha 90.00
_cell_angle_beta 106.71
_cell_angle_gamma 90.00
loop_
_symmetry_equiv_pos_as_xyz
'x,y,z'
'-x,-y,-z'
'-x,y,-z'
'x,-y,z'
'x+1/2,y+1/2,z'
'-x+1/2,-y+1/2,-z'
'-x+1/2,y+1/2,-z'
'x+1/2,-y+1/2,z'
loop_
_atom_site_label
_atom_site_fract_x
_atom_site_fract_y
_atom_site_fract_z
_atom_site_occupancy
Tm1 0.027 0.000 0.281 1
Tm2 0.092 0.500 0.950 1
Tm3 0.163 0.500 0.471 1
Tm4 0.200 0.000 0.815 1
Zn1 0.185 0.000 0.223 1
Cu1 0.000 0.500 0.500 1

# 4
# PBE CaTm3Zn4, optimized geometry
# Fermi-level density of states (states/eV per atom): 0.590
# DFT formation energy (eV/f.u.): -2.57
# Volume (Å³/cell): 179.0
# Calculated total energy (eV per atom): -2.8853
# M_tot (μB per cell): 0.00
data_CaTm3Zn4
_chemical_formula_sum 'Ca1 Tm3 Zn4'
_symmetry_space_group_name_H-M 'P 4/m m m'
_symmetry_Int_Tables_number 123
_symmetry_space_group_name_Hall '-P 4 2'
_cell_length_a 5.013
_cell_length_b 5.013
_cell_length_c 7.122
_cell_angle_alpha 90.00
_cell_angle_beta 90.00
_cell_angle_gamma 90.00
loop_
_atom_site_label
_atom_site_fract_x
_atom_site_fract_y
_atom_site_fract_z
_atom_site_occupancy
Ca1 0.000 0.000 0.000 1
Tm1 0.000 0.000 0.500 1
Tm2 0.500 0.500 0.000 1
Tm3 0.500 0.500 0.500 1
Zn1 0.000 0.500 0.259 1

# 5
# PBE SmThCo3, optimized geometry
# Fermi-level density of states (states/eV per atom): 1.352
# DFT formation energy (eV/f.u.): -0.91
# Volume (Å³/cell): 385.8
# Calculated total energy (eV per atom): -6.8739
# M_tot (μB per cell): 3.20
data_SmThCo3
_chemical_formula_sum 'Sm4 Th4 Co12'
_symmetry_space_group_name_H-M 'C m c m'
_symmetry_Int_Tables_number 63
_symmetry_space_group_name_Hall '-C 2c 2'
_cell_length_a 3.964
_cell_length_b 24.494
_cell_length_c 3.973
_cell_angle_alpha 90.00
_cell_angle_beta 90.00
_cell_angle_gamma 90.00
loop_
_atom_site_label
_atom_site_fract_x
_atom_site_fract_y
_atom_site_fract_z
_atom_site_occupancy
Sm1 0.000 0.203 0.250 1
Th1 0.000 0.070 0.750 1
Co1 0.000 0.335 0.250 1
Co2 0.000 0.382 0.750 1
Co3 0.000 0.477 0.750 1

# 6
# PBE Li2CrSb, optimized geometry
# Fermi-level density of states (states/eV per atom): 0.485
# Volume (Å³/cell): 70.5
# Calculated total energy (eV per atom): -4.4966
# M_tot (μB per cell): 3.54
data_Li2CrSb
_chemical_formula_sum 'Li2 Cr1 Sb1'
_symmetry_space_group_name_H-M 'P m m m'
_symmetry_Int_Tables_number 47
_cell_length_a 4.007
_cell_length_b 4.029
_cell_length_c 4.364
_cell_angle_alpha 90.00
_cell_angle_beta 90.00
_cell_angle_gamma 90.00
loop_
_symmetry_equiv_pos_as_xyz
'x,y,z'
'-x,-y,-z'
'-x,-y,z'
'x,y,-z'
'x,-y,-z'
'-x,y,z'
'-x,y,-z'
'x,-y,z'
loop_
_atom_site_label
_atom_site_fract_x
_atom_site_fract_y
_atom_site_fract_z
_atom_site_occupancy
Li1 0.000 0.000 0.000 1
Li2 0.500 0.500 0.000 1
Cr1 0.000 0.500 0.500 1
Sb1 0.500 0.000 0.500 1